# AlTcW

A relaxed AlTcW crystal (PBE-GGA, Alexandria).

Formation energy (eV per atom): 0.331
Energy relative to the lowest polymorph listed for this composition (eV/atom): 0.583

Cell: 7.539 8.818 12.832 Å, 90.00 90.00 90.00°
Space group Fdd2 (No. 43)
Unique sites:
Al 0.000 0.000 0.000 x8
Al 0.000 0.000 0.220 x8
Tc 0.033 0.237 0.631 x16
W 0.000 0.000 0.528 x8
W 0.000 0.000 0.764 x8